(1)
Material: PtRhCl2
Method: DFT, PBE
State: relaxed

Geometry as POSCAR:
```
PtRhCl2
1.0
-5.124 -6.060 8.853
-5.131 -8.135 6.990
-2.886 -7.702 8.586
Rh Pt Cl
1 1 2
Direct
0.000 0.000 0.000
0.500 0.500 0.500
0.063 0.063 0.063
0.937 0.937 0.937
```

The space group is R-3m (166). The calculation puts the formation energy without anion corrections at 392 meV/atom. The total DFT energy (no corrections) comes out at -3.880 eV per atom.


(2)
Material: La2SI2
Method: DFT, PBE
State: relaxed

Geometry as POSCAR:
```
La2SI2
1.0
4.220 0.000 0.000
0.000 10.565 0.000
-2.110 0.000 7.651
I La S
4 4 2
Direct
0.157 0.258 0.315
0.159 0.896 0.318
0.841 0.396 0.682
0.843 0.758 0.685
0.499 0.327 0.998
0.501 0.827 0.002
0.187 0.577 0.373
0.813 0.077 0.627
0.433 0.077 0.866
0.567 0.577 0.134
```

The space group is Cmc2_1 (36). The calculation puts the formation energy without anion corrections at -1474 meV/atom. The total DFT energy (no corrections) comes out at -4.890 eV per atom.